First-principles (PBE-GGA) data for a relaxed CeDyTeO2 crystal, as listed in Alexandria via LeMat-Bulk.

Formation energy without anion corrections in eV per atom: -2.89
Uncorrected energy in eV per atom: -7.609

Lattice parameters (Å, degrees): 3.986 3.986 12.683 90.00 90.00 90.00
Space group I4mm (No. 107)
Unique sites:
Ce  0.000  0.000  0.000 [2 per cell]
Dy  0.000  0.000  0.318 [2 per cell]
Te  0.000  0.000  0.659 [2 per cell]
O  0.000  0.500  0.403 [4 per cell]